Crystalline ErTm4Hg at its relaxed geometry, computed with PBE-GGA.

Structure (extended XYZ):
```
12
Lattice="6.2143 -0.7274 0.0000 -2.5283 8.4625 0.0000 -1.8430 -3.8675 6.8784" Properties=species:S:1:pos:R:3 pbc="T T T"
Tm 3.4142 5.4543 1.6594
Tm 3.3789 1.9170 1.6594
Tm 0.0976 0.7923 2.6012
Er 0.2894 4.0494 1.2815
Tm -1.5359 1.9505 5.2190
Tm -1.5712 -1.5868 5.2190
Er 1.5536 -0.1819 5.5969
Tm 3.0095 -1.1561 2.6012
Tm 1.7454 3.0752 4.2772
Hg 0.2894 4.0494 6.8732
Tm -1.1666 5.0236 4.2772
Hg 1.5536 -0.1819 0.0052
```

Summary:
**Spin magnetization**: 0.0 μB per cell
**Calculated formation energy**: -39 meV/atom
**Final energy**: -3.8308 eV/atom
**Space-group type**: C2/c (15)
**Density of states at the Fermi level**: 15.850 states/eV per cell

Crystalline Ag3HF at its relaxed geometry, computed with PBE-GGA.

Structure (extended XYZ):
```
5
Lattice="4.1290 0.0000 0.0000 0.0000 4.1290 0.0000 0.0000 0.0000 4.1290" Properties=species:S:1:pos:R:3 pbc="T T T"
H 0.0000 0.0000 0.0000
Ag 0.0000 0.0000 2.0645
F 2.0645 2.0645 2.0645
Ag 2.0645 0.0000 0.0000
Ag 0.0000 2.0645 0.0000
```

Summary:
**Spin magnetization**: 0.0 μB per cell
**Final energy**: -2.9207 eV/atom
**Space-group type**: Pm-3m (221)
**Density of states at the Fermi level**: 1.297 states/eV per cell

Crystalline Er4TmGa15 at its relaxed geometry, computed with PBE-GGA.

Structure (extended XYZ):
```
20
Lattice="4.2540 0.0000 0.0000 0.0000 4.2540 0.0000 0.0000 0.0000 21.1686" Properties=species:S:1:pos:R:3 pbc="T T T"
Ga 2.1270 0.0000 2.1089
Tm 0.0000 0.0000 0.0000
Ga 0.0000 2.1270 19.0597
Er 0.0000 0.0000 16.9395
Ga 0.0000 2.1270 2.1089
Ga 2.1270 2.1270 8.4660
Er 0.0000 0.0000 8.4666
Ga 2.1270 2.1270 16.9349
Ga 2.1270 2.1270 4.2337
Ga 0.0000 2.1270 14.8199
Ga 2.1270 2.1270 0.0000
Ga 2.1270 0.0000 14.8199
Ga 2.1270 2.1270 12.7026
Ga 2.1270 0.0000 10.5843
Ga 2.1270 0.0000 19.0597
Ga 0.0000 2.1270 10.5843
Ga 0.0000 2.1270 6.3487
Er 0.0000 0.0000 4.2291
Er 0.0000 0.0000 12.7020
Ga 2.1270 0.0000 6.3487
```

Summary:
**Spin magnetization**: 0.0 μB per cell
**Calculated formation energy**: -525 meV/atom
**Final energy**: -3.9314 eV/atom
**Space-group type**: P4/mmm (123)
**Density of states at the Fermi level**: 7.543 states/eV per cell

Crystalline Mg2ZrBe at its relaxed geometry, computed with PBE-GGA.

Structure (extended XYZ):
```
4
Lattice="-2.2528 -3.1902 -3.6721 5.0190 -1.9742 2.3431 -0.9650 -1.8872 1.8199" Properties=species:S:1:pos:R:3 pbc="T T T"
Mg -1.6089 -2.5387 -0.9261
Mg 0.0000 0.0000 0.0000
Be 1.3831 -2.5822 -0.6645
Zr 2.0270 -1.9307 2.0815
```

Summary:
**Spin magnetization**: 0.0 μB per cell
**Calculated formation energy**: 268 meV/atom
**Final energy**: -3.5978 eV/atom
**Space-group type**: C2/m (12)
**Density of states at the Fermi level**: 3.004 states/eV per cell

Crystalline La5Hg2Pt2 at its relaxed geometry, computed with PBE-GGA.

Structure (extended XYZ):
```
18
Lattice="-0.4563 7.5723 -4.2704 3.8541 -3.0197 -5.7663 -8.8966 -0.8425 -0.5433" Properties=species:S:1:pos:R:3 pbc="T T T"
Hg -2.0952 -2.8674 -4.8607
La 0.0000 0.0000 0.0000
Pt 3.0479 2.1038 -7.6437
Pt 0.3500 2.4487 -2.3930
La -5.9337 0.0476 -2.4081
Hg -2.9472 -0.9947 -1.4489
La -0.4990 -0.2783 -3.5667
Hg -1.2482 1.2816 -6.4673
La 1.6989 2.2763 -5.0184
La -6.8594 4.3803 -3.4996
La 1.3607 -0.6701 -7.0804
Hg -4.2505 2.4285 -4.1127
Pt 2.3933 -0.9907 -4.1879
Pt 1.0045 5.5433 -5.8488
La 0.4350 3.6625 -8.1719
La -4.0740 -0.3442 -5.9217
La -4.9997 3.9884 -7.0133
La -1.4247 4.0543 -4.6583
```

Summary:
**Spin magnetization**: 0.0 μB per cell
**Calculated formation energy**: -747 meV/atom
**Final energy**: -4.8936 eV/atom
**Space-group type**: Cmce (64)
**Density of states at the Fermi level**: 17.425 states/eV per cell

Crystalline Mg2AlCo5Si2 at its relaxed geometry, computed with PBE-GGA.

Structure (extended XYZ):
```
20
Lattice="3.0143 0.0000 0.0000 0.0000 9.1978 0.0000 0.0000 0.0000 9.1978" Properties=species:S:1:pos:R:3 pbc="T T T"
Co 1.5072 2.7282 5.2263
Mg 0.0000 6.1809 1.5820
Co 1.5072 0.6274 7.3271
Co 1.5072 6.4696 3.9715
Si 0.0000 8.0236 3.4248
Co 1.5072 1.8707 0.6274
Si 0.0000 3.4248 1.1741
Mg 0.0000 7.6157 6.1809
Si 0.0000 5.7730 8.0236
Co 1.5072 5.2263 6.4696
Mg 0.0000 3.0168 7.6157
Co 1.5072 4.5989 0.0000
Si 0.0000 1.1741 5.7730
Co 1.5072 7.3271 8.5703
Co 1.5072 3.9715 2.7282
Mg 0.0000 1.5820 3.0168
Co 1.5072 0.0000 4.5989
Co 1.5072 8.5703 1.8707
Al 0.0000 4.5989 4.5989
Al 0.0000 0.0000 0.0000
```

Summary:
**Spin magnetization**: 0.0 μB per cell
**Final energy**: -5.6506 eV/atom
**Space-group type**: P4/mbm (127)
**Density of states at the Fermi level**: 9.047 states/eV per cell

Crystalline ReSn2Pt at its relaxed geometry, computed with PBE-GGA.

Structure (extended XYZ):
```
4
Lattice="-2.5023 -3.9614 -0.3400 -0.7624 -2.6316 3.8162 -4.3018 -0.2292 1.8741" Properties=species:S:1:pos:R:3 pbc="T T T"
Pt -3.7833 -3.4111 2.6752
Sn -1.8916 -1.7055 1.3376
Re 0.0000 0.0000 0.0000
Sn -5.6749 -5.1166 4.0128
```

Summary:
**Spin magnetization**: 0.0 μB per cell
**Calculated formation energy**: 320 meV/atom
**Final energy**: -6.3034 eV/atom
**Space-group type**: Fm-3m (225)
**Density of states at the Fermi level**: 4.519 states/eV per cell

Crystalline CaPSe2 at its relaxed geometry, computed with PBE-GGA.

Structure (extended XYZ):
```
8
Lattice="5.7309 0.0000 0.0000 0.0000 5.7309 0.0000 2.8654 2.8654 7.2384" Properties=species:S:1:pos:R:3 pbc="T T T"
Ca 0.0000 0.0000 0.0000
Se 4.2981 4.6301 5.4288
Se 1.7646 4.2981 1.8096
Ca 5.7309 2.8654 3.6192
P 2.8654 2.8654 0.0000
Se 3.9662 1.4327 1.8096
Se 7.1636 6.8316 5.4288
P 2.8654 5.7309 3.6192
```

Summary:
**Spin magnetization**: 0.0 μB per cell
**Final energy**: -4.1340 eV/atom
**Space-group type**: I-42d (122)
**Density of states at the Fermi level**: 2.489 states/eV per cell

Crystalline La3Pm5Th2 at its relaxed geometry, computed with PBE-GGA.

Structure (extended XYZ):
```
20
Lattice="-1.9531 1.1650 -9.9603 -6.5265 -6.2445 4.7272 -0.0890 8.2086 4.1285" Properties=species:S:1:pos:R:3 pbc="T T T"
Pm -6.1286 0.2819 0.7037
La -3.0617 5.6448 -3.5548
Pm -4.9291 -1.9852 -5.0364
Pm -3.6395 5.1144 3.9318
Pm -6.9854 -2.6522 -1.0777
La -4.4094 3.4428 0.8430
Th -5.3166 1.9820 3.7160
La -7.9869 2.7155 1.3527
La -4.1592 -0.3136 -1.9476
La -5.5069 -2.5157 2.4501
Pm -2.4400 2.8472 -1.8084
Pm -6.7698 0.4252 -4.3936
Th -2.1529 7.1034 -6.4284
Pm -1.5833 5.7813 -0.0270
Th -6.4158 -3.9743 5.3237
Th -3.2520 1.1471 -4.8207
Pm -5.8403 3.2439 -2.7015
La -0.5817 0.4136 -2.4574
Pm -2.7284 -0.1148 1.5968
Pm -1.7989 2.7039 3.2889
```

Summary:
**Spin magnetization**: 0.0 μB per cell
**Calculated formation energy**: 205 meV/atom
**Final energy**: -5.1327 eV/atom
**Space-group type**: C2/c (15)
**Density of states at the Fermi level**: 32.338 states/eV per cell

Crystalline TmIr2 at its relaxed geometry, computed with PBE-GGA.

Structure (extended XYZ):
```
6
Lattice="-3.6495 3.7453 -1.0276 -3.9534 -1.0019 -3.4306 -4.9894 -0.5817 1.7802" Properties=species:S:1:pos:R:3 pbc="T T T"
Tm -9.4443 1.6213 -2.0084
Ir -4.0688 -0.0207 0.5554
Tm -6.2962 1.0808 -1.3390
Ir -3.5508 -0.2307 -2.0500
Ir -3.3988 2.1428 -0.8485
Ir -1.5740 0.2702 -0.3347
```

Summary:
**Spin magnetization**: 0.0 μB per cell
**Calculated formation energy**: -829 meV/atom
**Final energy**: -8.2264 eV/atom
**Space-group type**: Fd-3m (227)
**Density of states at the Fermi level**: 5.491 states/eV per cell

Crystalline Mn3AlB2 at its relaxed geometry, computed with PBE-GGA.

Structure (extended XYZ):
```
12
Lattice="2.9173 0.0000 0.0000 0.0000 5.5868 0.0000 0.0000 0.0000 7.2324" Properties=species:S:1:pos:R:3 pbc="T T T"
B 0.0000 5.4187 2.1380
B 0.0000 2.6253 5.0944
Mn 1.4587 3.8433 5.9680
Al 0.0000 2.6715 0.2560
Mn 1.4587 1.0790 5.1967
Mn 1.4587 1.0499 1.2644
B 1.4587 0.2274 3.1357
B 1.4587 3.0208 4.0966
Al 0.0000 5.4649 6.9764
Mn 0.0000 4.6452 4.1298
Mn 0.0000 1.8518 3.1026
Mn 1.4587 3.8725 2.0356
```

Summary:
**Spin magnetization**: 4.0 μB per cell
**Calculated formation energy**: -256 meV/atom
**Final energy**: -7.6899 eV/atom
**Space-group type**: Pmc2_1 (26)
**Density of states at the Fermi level**: 4.787 states/eV per cell

Crystalline CaAl3Au4 at its relaxed geometry, computed with PBE-GGA.

Structure (extended XYZ):
```
8
Lattice="-1.2779 -3.9606 1.5789 1.8333 0.9778 3.9364 -7.0283 3.2506 2.4658" Properties=species:S:1:pos:R:3 pbc="T T T"
Al 0.0000 0.0000 0.0000
Au -1.9261 -1.3850 1.2410
Al -4.3530 0.6503 4.3823
Au -6.3801 0.6750 2.8037
Ca -3.5141 1.6253 1.2329
Al -2.1198 -0.3826 3.5988
Au -0.3705 1.0842 2.4198
Au -4.8245 3.1442 3.9825
```

Summary:
**Spin magnetization**: 0.0 μB per cell
**Calculated formation energy**: -480 meV/atom
**Final energy**: -3.7728 eV/atom
**Space-group type**: P4/mmm (123)
**Density of states at the Fermi level**: 2.221 states/eV per cell

Crystalline TlFe3Cl at its relaxed geometry, computed with PBE-GGA.

Structure (extended XYZ):
```
5
Lattice="-2.0693 0.3564 3.7287 -3.7442 -0.3163 -2.0476 0.1051 -4.2527 0.4648" Properties=species:S:1:pos:R:3 pbc="T T T"
Fe -1.0346 0.1782 1.8644
Fe -1.8721 -0.1582 -1.0238
Cl 0.0000 0.0000 0.0000
Tl -2.8542 -2.1063 1.0729
Fe 0.0525 -2.1263 0.2324
```

Summary:
**Spin magnetization**: 6.2 μB per cell
**Final energy**: -5.1677 eV/atom
**Space-group type**: Pm-3m (221)
**Density of states at the Fermi level**: 2.292 states/eV per cell

Crystalline POsRh2 at its relaxed geometry, computed with PBE-GGA.

Structure (extended XYZ):
```
4
Lattice="-0.5293 -1.7148 -2.1222 3.7077 -0.6216 -0.4224 -0.2991 -4.0689 3.3625" Properties=species:S:1:pos:R:3 pbc="T T T"
P 1.4396 -3.2027 0.4089
Rh -0.2248 -3.0578 2.5269
Os 1.5892 -1.1682 -1.2723
Rh -0.0743 -1.0112 0.8356
```

Summary:
**Spin magnetization**: 0.0 μB per cell
**Calculated formation energy**: 97 meV/atom
**Final energy**: -7.7386 eV/atom
**Space-group type**: Pmmm (47)
**Density of states at the Fermi level**: 2.597 states/eV per cell

Crystalline VFe2Ni5 at its relaxed geometry, computed with PBE-GGA.

Structure (extended XYZ):
```
8
Lattice="4.8515 -0.3891 -1.4166 -2.8144 3.9673 -1.4252 0.1292 0.2367 4.7946" Properties=species:S:1:pos:R:3 pbc="T T T"
Ni 1.0155 1.0488 4.0054
Ni -0.3707 3.0133 3.2972
Fe 2.7158 1.1004 0.8846
Ni 3.4680 0.8456 3.2932
Fe -1.1074 3.2958 0.9089
Ni 0.2906 1.3064 1.6070
Ni 1.3092 3.0954 0.1862
V 1.9274 2.5889 -2.2102
```

Summary:
**Spin magnetization**: 5.9 μB per cell
**Calculated formation energy**: -80 meV/atom
**Final energy**: -6.9487 eV/atom
**Space-group type**: Fmm2 (42)
**Density of states at the Fermi level**: 8.823 states/eV per cell

Crystalline SmScAg at its relaxed geometry, computed with PBE-GGA.

Structure (extended XYZ):
```
3
Lattice="-3.6252 -1.9745 -2.6807 -0.1964 -4.8867 -0.6537 -3.5404 -2.6333 2.2085" Properties=species:S:1:pos:R:3 pbc="T T T"
Sc -5.5215 -7.1201 -0.8450
Sm -1.8406 -2.3763 -0.2794
Ag -3.7368 -7.5181 1.5534
```

Summary:
**Spin magnetization**: 0.0 μB per cell
**Calculated formation energy**: 108 meV/atom
**Final energy**: -4.5262 eV/atom
**Space-group type**: Imm2 (44)
**Density of states at the Fermi level**: 4.762 states/eV per cell

Crystalline AcTb8Tm2 at its relaxed geometry, computed with PBE-GGA.

Structure (extended XYZ):
```
11
Lattice="5.4710 -0.4708 -0.3289 0.4666 9.9795 2.6950 0.4666 5.9647 8.4424" Properties=species:S:1:pos:R:3 pbc="T T T"
Tm 4.3835 4.1944 2.9299
Tb 1.8226 8.6133 6.0166
Ac 0.0000 0.0000 0.0000
Tb 4.5850 10.7433 5.5304
Tb 4.9448 12.5372 8.7575
Tb 1.8191 6.5836 2.6247
Tb 4.5850 8.8898 8.1838
Tb 1.4594 2.9362 2.0510
Tm 2.0206 11.2789 7.8786
Tb 4.5815 6.8601 4.7919
Tb 1.8191 4.7300 5.2781
```

Summary:
**Spin magnetization**: 0.0 μB per cell
**Calculated formation energy**: 124 meV/atom
**Final energy**: -4.4300 eV/atom
**Space-group type**: C2/m (12)
**Density of states at the Fermi level**: 17.001 states/eV per cell

Crystalline LuPuPdPt at its relaxed geometry, computed with PBE-GGA.

Structure (extended XYZ):
```
4
Lattice="-0.9382 -2.0419 -4.3779 -0.0391 -4.8980 -0.4728 -4.2491 -2.3655 -0.7517" Properties=species:S:1:pos:R:3 pbc="T T T"
Pu 0.0000 0.0000 0.0000
Pt -1.3066 -2.3264 -1.4006
Pd -3.9198 -6.9791 -4.2017
Lu -2.6132 -4.6527 -2.8012
```

Summary:
**Spin magnetization**: 5.5 μB per cell
**Calculated formation energy**: -819 meV/atom
**Final energy**: -8.3404 eV/atom
**Space-group type**: F-43m (216)
**Density of states at the Fermi level**: 12.181 states/eV per cell

Crystalline Ho2InSb at its relaxed geometry, computed with PBE-GGA.

Structure (extended XYZ):
```
8
Lattice="4.3324 0.0000 0.0000 0.0000 4.4153 -0.7842 0.0000 -0.1273 12.1049" Properties=species:S:1:pos:R:3 pbc="T T T"
Ho 1.0831 1.3206 7.4356
Ho 3.2493 4.0251 9.8410
Sb 1.0831 0.7853 4.4217
Ho 3.2493 2.9673 3.8851
Ho 1.0831 0.2628 1.4797
In 1.0831 1.9029 10.7137
In 3.2493 2.3851 0.6070
Sb 3.2493 3.5026 6.8990
```

Summary:
**Spin magnetization**: 0.0 μB per cell
**Final energy**: -4.7547 eV/atom
**Space-group type**: Cmcm (63)
**Density of states at the Fermi level**: 4.563 states/eV per cell

Crystalline LiSc2Ag3 at its relaxed geometry, computed with PBE-GGA.

Structure (extended XYZ):
```
6
Lattice="-1.9893 1.4460 2.3006 -2.4021 -2.2686 -0.6512 3.7756 -6.0212 7.0493" Properties=species:S:1:pos:R:3 pbc="T T T"
Li -0.3079 -3.4219 4.3493
Sc -1.5282 -1.4759 2.0711
Ag 0.0000 0.0000 0.0000
Ag 1.3256 -2.1140 2.4750
Ag 2.4500 -3.9072 4.5743
Sc 0.9123 -5.3679 6.6276
```

Summary:
**Spin magnetization**: 0.0 μB per cell
**Calculated formation energy**: -240 meV/atom
**Final energy**: -4.0947 eV/atom
**Space-group type**: P4/mmm (123)
**Density of states at the Fermi level**: 4.030 states/eV per cell